LaTbCd | PBE-GGA | relaxed

The structure in POSCAR format:
```
LaTbCd
1.0
0.000 3.673 3.673
3.673 0.000 3.673
3.673 3.673 0.000
La Tb Cd
1 1 1
direct
0.000 0.000 0.000 La
0.250 0.250 0.250 Tb
0.750 0.750 0.750 Cd
```

## Properties
For the energy relative to the elements, the calculation gives 446 meV/atom. Its total DFT energy (no corrections) is -9.11 eV/cell.